Crystalline PmFeSi2Mo at its relaxed geometry, computed with PBE.

a b c (Å): 4.0027 4.0027 10.8275
angles (deg): 90.00 90.00 90.00
Space group I-4m2 (No. 119)
Unique sites:
Pm: 0.0000 0.0000 0.0000 [2 per cell]
Fe: 0.0000 0.5000 0.7500 [2 per cell]
Si: 0.0000 0.0000 0.3835 [4 per cell]
Mo: 0.0000 0.5000 0.2500 [2 per cell]

Properties
Crystal system: tetragonal
Formation energy without anion corrections (eV per atom): -0.497
Calculated total energy (eV/f.u.): -37.374